No. 1
A relaxed KTbTm4Se8 crystal, computed with GGA-PBE.

CIF file:
```
data_KTbTm4Se8
_symmetry_space_group_name_H-M 'P 1'
_symmetry_Int_Tables_number 1
_cell_length_a 8.481
_cell_length_b 8.481
_cell_length_c 8.541
_cell_angle_alpha 60.23
_cell_angle_beta 60.23
_cell_angle_gamma 60.00
loop_
_symmetry_equiv_pos_as_xyz
'x,y,z'
loop_
_atom_site_label
_atom_site_fract_x
_atom_site_fract_y
_atom_site_fract_z
_atom_site_occupancy
K1 0.373 0.373 0.882 1
Tb1 0.005 0.005 0.984 1
Tm1 0.625 0.625 0.124 1
Tm2 0.005 0.486 0.505 1
Tm3 0.486 0.005 0.505 1
Tm4 0.005 0.005 0.505 1
Se1 0.238 0.796 0.729 1
Se2 0.796 0.238 0.729 1
Se3 0.238 0.238 0.729 1
Se4 0.234 0.234 0.299 1
Se5 0.756 0.229 0.260 1
Se6 0.229 0.756 0.260 1
Se7 0.756 0.756 0.260 1
Se8 0.757 0.757 0.728 1
```

Values from the calculation:
energy relative to the elements, uncorrected = -1.7288 eV per atom
crystal system = trigonal
magnetic moment = 0.00 μB per atom

---

No. 2
A relaxed PuHfAu2 crystal, computed with GGA-PBE.

CIF file:
```
data_PuHfAu2
_symmetry_space_group_name_H-M 'P 1'
_symmetry_Int_Tables_number 1
_cell_length_a 3.094
_cell_length_b 5.268
_cell_length_c 5.268
_cell_angle_alpha 90.00
_cell_angle_beta 90.00
_cell_angle_gamma 90.00
loop_
_symmetry_equiv_pos_as_xyz
'x,y,z'
loop_
_atom_site_label
_atom_site_fract_x
_atom_site_fract_y
_atom_site_fract_z
_atom_site_occupancy
Hf1 0.500 0.000 0.000 1
Au1 0.000 0.000 0.500 1
Au2 0.000 0.500 0.000 1
Pu1 0.500 0.500 0.500 1
```

Values from the calculation:
E above lowest polymorph = 68 meV per atom
crystal system = tetragonal
DFT formation energy = -351 meV/atom
magnetic moment = 1.48 μB per atom

---

No. 3
A relaxed BaAg3 crystal, computed with GGA-PBE.

CIF file:
```
data_BaAg3
_symmetry_space_group_name_H-M 'P 1'
_symmetry_Int_Tables_number 1
_cell_length_a 4.782
_cell_length_b 4.782
_cell_length_c 4.782
_cell_angle_alpha 90.00
_cell_angle_beta 90.00
_cell_angle_gamma 90.00
loop_
_symmetry_equiv_pos_as_xyz
'x,y,z'
loop_
_atom_site_label
_atom_site_fract_x
_atom_site_fract_y
_atom_site_fract_z
_atom_site_occupancy
Ba1 0.000 0.000 0.000 1
Ag1 0.000 0.500 0.500 1
Ag2 0.500 0.000 0.500 1
Ag3 0.500 0.500 0.000 1
```

Values from the calculation:
E above lowest polymorph = 284 meV per atom
crystal system = cubic
DFT formation energy = 95 meV/atom
magnetic moment = 0.00 μB per atom

---

No. 4
A relaxed RbAlSb2Te crystal, computed with GGA-PBE.

CIF file:
```
data_RbAlSb2Te
_symmetry_space_group_name_H-M 'P 1'
_symmetry_Int_Tables_number 1
_cell_length_a 6.095
_cell_length_b 6.095
_cell_length_c 6.225
_cell_angle_alpha 90.00
_cell_angle_beta 90.00
_cell_angle_gamma 90.00
loop_
_symmetry_equiv_pos_as_xyz
'x,y,z'
loop_
_atom_site_label
_atom_site_fract_x
_atom_site_fract_y
_atom_site_fract_z
_atom_site_occupancy
Sb1 0.000 0.500 0.000 1
Sb2 0.500 0.000 0.000 1
Te1 0.000 0.000 0.500 1
Al1 0.500 0.500 0.500 1
Rb1 0.000 0.000 0.000 1
```

Values from the calculation:
energy relative to the elements, uncorrected = 1.3082 eV per atom
E above lowest polymorph = 1285 meV per atom
crystal system = tetragonal
magnetic moment = 0.00 μB per atom

---

No. 5
A relaxed Fe3P crystal, computed with GGA-PBE.

CIF file:
```
data_Fe3P
_symmetry_space_group_name_H-M 'P 1'
_symmetry_Int_Tables_number 1
_cell_length_a 4.485
_cell_length_b 4.485
_cell_length_c 4.485
_cell_angle_alpha 90.00
_cell_angle_beta 90.00
_cell_angle_gamma 90.00
loop_
_symmetry_equiv_pos_as_xyz
'x,y,z'
loop_
_atom_site_label
_atom_site_fract_x
_atom_site_fract_y
_atom_site_fract_z
_atom_site_occupancy
Fe1 0.750 0.500 0.000 1
Fe2 0.250 0.500 0.000 1
Fe3 0.000 0.750 0.500 1
Fe4 0.000 0.250 0.500 1
Fe5 0.500 0.000 0.250 1
Fe6 0.500 0.000 0.750 1
P1 0.000 0.000 0.000 1
P2 0.500 0.500 0.500 1
```

Values from the calculation:
E above lowest polymorph = 159 meV per atom
crystal system = cubic
DFT formation energy = -198 meV/atom
magnetic moment = 1.72 μB per atom

---

No. 6
A relaxed CdRh2Cl crystal, computed with GGA-PBE.

CIF file:
```
data_CdRh2Cl
_symmetry_space_group_name_H-M 'P 1'
_symmetry_Int_Tables_number 1
_cell_length_a 4.581
_cell_length_b 4.581
_cell_length_c 4.581
_cell_angle_alpha 60.00
_cell_angle_beta 60.00
_cell_angle_gamma 60.00
loop_
_symmetry_equiv_pos_as_xyz
'x,y,z'
loop_
_atom_site_label
_atom_site_fract_x
_atom_site_fract_y
_atom_site_fract_z
_atom_site_occupancy
Cl1 0.000 0.000 0.000 1
Rh1 0.250 0.250 0.250 1
Rh2 0.750 0.750 0.750 1
Cd1 0.500 0.500 0.500 1
```

Values from the calculation:
energy relative to the elements, uncorrected = 0.5286 eV per atom
E above lowest polymorph = 512 meV per atom
crystal system = cubic
magnetic moment = 0.53 μB per atom

---

No. 7
A relaxed ZrCu2Ge crystal, computed with GGA-PBE.

CIF file:
```
data_ZrCu2Ge
_symmetry_space_group_name_H-M 'P 1'
_symmetry_Int_Tables_number 1
_cell_length_a 3.808
_cell_length_b 3.808
_cell_length_c 9.816
_cell_angle_alpha 78.81
_cell_angle_beta 78.81
_cell_angle_gamma 90.00
loop_
_symmetry_equiv_pos_as_xyz
'x,y,z'
loop_
_atom_site_label
_atom_site_fract_x
_atom_site_fract_y
_atom_site_fract_z
_atom_site_occupancy
Ge1 0.500 0.500 0.000 1
Ge2 0.250 0.750 0.500 1
Cu1 0.597 0.125 0.250 1
Cu2 0.153 0.625 0.250 1
Cu3 0.375 0.403 0.750 1
Cu4 0.875 0.847 0.750 1
Zr1 0.000 0.000 0.000 1
Zr2 0.750 0.250 0.500 1
```

Values from the calculation:
crystal system = tetragonal
DFT formation energy = -18 meV/atom
magnetic moment = 0.00 μB per atom

---

No. 8
A relaxed CsRbPF6 crystal, computed with GGA-PBE.

CIF file:
```
data_CsRbPF6
_symmetry_space_group_name_H-M 'P 1'
_symmetry_Int_Tables_number 1
_cell_length_a 6.364
_cell_length_b 6.364
_cell_length_c 5.155
_cell_angle_alpha 86.11
_cell_angle_beta 86.11
_cell_angle_gamma 54.34
loop_
_symmetry_equiv_pos_as_xyz
'x,y,z'
loop_
_atom_site_label
_atom_site_fract_x
_atom_site_fract_y
_atom_site_fract_z
_atom_site_occupancy
Cs1 0.017 0.017 0.874 1
Rb1 0.682 0.682 0.302 1
P1 0.336 0.336 0.549 1
F1 0.153 0.154 0.349 1
F2 0.493 0.060 0.758 1
F3 0.456 0.456 0.713 1
F4 0.060 0.492 0.759 1
F5 0.190 0.613 0.348 1
F6 0.613 0.191 0.348 1
```

Values from the calculation:
energy relative to the elements, uncorrected = -2.4913 eV per atom
crystal system = monoclinic
magnetic moment = 0.11 μB per atom